A geometry-optimized BaCd2Os structure. Source: Alexandria, functional GGA-PBE.

Lattice parameters (Å, degrees): 4.4754 4.4754 4.9630 90.00 90.00 90.00
Closest atoms and distances in Å follow each position.
Sites, in units of the cell vectors:
Ba  0.0000  0.0000  0.0000  4 Os 3.16, 8 Cd 3.34
Cd  0.0000  0.5000  0.5000  4 Cd 3.16, 4 Os 3.34, 4 Ba 3.34
Cd  0.5000  0.0000  0.5000  4 Cd 3.16, 4 Os 3.34, 4 Ba 3.34
Os  0.5000  0.5000  0.0000  4 Ba 3.16, 8 Cd 3.34

For the volume, the calculation gives 24.85 Å³ per atom. Its calculated formation energy is 0.748 eV/atom. The density of states at the Fermi level is 0.8704 states/eV per atom. The total energy is -2.997 eV/atom.